Run i
AgSnPd2Cl, relaxed, DFT GGA-PBE; density of states at the Fermi level = 0.370 states/eV per atom; crystal system = tetragonal; total magnetization = 0.00 μB/cell
1.0
4.539 0.000 0.000
0.000 4.539 0.000
0.000 0.000 5.543
Ag Sn Pd Cl
1 1 2 1
Cartesian
0.000 0.000 0.000 Ag
2.270 2.270 0.000 Sn
0.000 2.270 2.771 Pd
2.270 0.000 2.771 Pd
2.270 2.270 2.771 Cl

---

Run ii
AgSnPd2Cl, relaxed, DFT GGA-PBE; density of states at the Fermi level = 0.096 states/eV per atom; crystal system = tetragonal; total magnetization = 0.00 μB/cell
1.0
5.011 0.000 0.000
0.000 5.011 0.000
0.000 0.000 5.308
Ag Sn Pd Cl
1 1 2 1
Cartesian
0.000 0.000 0.000 Ag
2.505 2.505 2.654 Sn
0.000 2.505 2.654 Pd
2.505 0.000 2.654 Pd
2.505 2.505 0.000 Cl

---

run ii is preferred energetically. Next in line: 64 meV/atom higher.

---

Run i
Pm2AgCl, relaxed, DFT GGA-PBE; density of states at the Fermi level = 0.970 states/eV per atom; crystal system = tetragonal; total magnetization = 0.00 μB/cell
1.0
3.469 0.000 0.000
0.000 3.469 0.000
0.000 0.000 8.272
Pm Ag Cl
2 1 1
Cartesian
0.000 0.000 1.994 Pm
0.000 0.000 6.279 Pm
1.735 1.735 0.000 Ag
1.735 1.735 4.136 Cl

---

Run ii
Pm2AgCl, relaxed, DFT GGA-PBE; density of states at the Fermi level = 0.867 states/eV per atom; crystal system = trigonal; total magnetization = 0.00 μB/cell
1.0
1.815 1.048 9.124
-1.815 1.048 9.124
0.000 -2.096 9.124
Pm Ag Cl
2 1 1
Cartesian
0.000 0.000 0.000 Pm
0.000 0.000 4.425 Pm
0.000 0.000 15.887 Ag
0.000 0.000 11.354 Cl

---

run ii is preferred energetically. Next in line: 21 meV/atom higher.